1.
DFT (PBE-GGA) results for crystalline CaTmMg6 at its relaxed geometry.

Summary:
VASP energy in eV/atom: -2.050
Symmetry: Amm2, No. 38
Spin magnetization in μB per formula unit: 0.0

POSCAR file:
```
CaTmMg6
1.0
5.168 0.000 0.000
0.000 6.601 0.158
0.000 -2.781 5.988
Mg Tm Ca
6 1 1
direct
0.000 0.061 0.370 Mg
0.000 0.585 0.415 Mg
0.500 0.430 0.125 Mg
0.500 0.875 0.570 Mg
0.500 0.922 0.078 Mg
0.000 0.630 0.939 Mg
0.000 0.112 0.888 Tm
0.500 0.385 0.615 Ca
```

2.
DFT (PBE-GGA) results for crystalline CaTmMg17 at its relaxed geometry.

Summary:
VASP energy in eV/atom: -1.776
Symmetry: R3m, No. 160
Spin magnetization in μB per formula unit: 0.0

POSCAR file:
```
CaTmMg17
1.0
7.761 0.064 0.987
0.877 7.711 0.987
0.071 0.064 7.823
Mg Ca Tm
17 1 1
direct
0.996 0.996 0.504 Mg
0.645 0.645 0.173 Mg
0.003 0.304 0.693 Mg
0.504 0.996 0.996 Mg
0.003 0.693 0.304 Mg
0.996 0.504 0.996 Mg
0.102 0.102 0.102 Mg
0.853 0.346 0.346 Mg
0.645 0.173 0.645 Mg
0.693 0.304 0.003 Mg
0.304 0.693 0.003 Mg
0.304 0.003 0.693 Mg
0.693 0.003 0.304 Mg
0.173 0.645 0.645 Mg
0.346 0.853 0.346 Mg
0.346 0.346 0.853 Mg
0.902 0.902 0.902 Mg
0.665 0.665 0.665 Ca
0.328 0.328 0.328 Tm
```

3.
DFT (PBE-GGA) results for crystalline CaTm3Mg6 at its relaxed geometry.

Summary:
VASP energy in eV/atom: -2.540
Symmetry: P2_1/m, No. 11
Spin magnetization in μB per formula unit: 0.0

POSCAR file:
```
CaTm3Mg6
1.0
-5.066 1.442 0.609
-2.620 -8.801 -0.946
1.765 1.540 11.033
Tm Mg Ca
6 12 2
direct
0.250 0.357 0.804 Tm
0.250 0.745 0.004 Tm
0.750 0.255 0.996 Tm
0.750 0.458 0.604 Tm
0.750 0.643 0.196 Tm
0.250 0.542 0.396 Tm
0.250 0.655 0.707 Mg
0.750 0.155 0.703 Mg
0.250 0.147 0.197 Mg
0.250 0.050 0.908 Mg
0.250 0.845 0.297 Mg
0.250 0.441 0.102 Mg
0.750 0.345 0.293 Mg
0.750 0.950 0.092 Mg
0.250 0.254 0.500 Mg
0.750 0.853 0.803 Mg
0.750 0.746 0.500 Mg
0.750 0.559 0.898 Mg
0.750 0.052 0.394 Ca
0.250 0.948 0.606 Ca
```